ZrAl2Hg: optimized geometry, PBE-GGA.

Structure (POSCAR):
```
ZrAl2Hg
1.0
4.278 0.000 0.000
0.000 4.278 0.000
0.000 0.000 4.077
Al Hg Zr
2 1 1
direct
0.500 0.500 0.000 Al
0.000 0.000 0.000 Al
0.500 0.000 0.500 Hg
0.000 0.500 0.500 Zr
```

Summary:
magnetization	0.0	μB/cell
Fermi-level density of states	0.28	states/eV/atom
formation enthalpy at 0 K	-32.5	kJ per mole of atoms



TaCr2As: optimized geometry, PBE-GGA.

Structure (POSCAR):
```
TaCr2As
1.0
-0.891 1.548 -4.491
-1.132 -4.759 1.022
-2.826 0.033 0.246
Cr Ta As
2 1 1
direct
0.000 0.000 0.000 Cr
0.500 0.000 0.500 Cr
0.000 0.500 0.500 Ta
0.500 0.500 0.000 As
```

Summary:
magnetization	1.5	μB/cell
Fermi-level density of states	1.16	states/eV/atom
formation enthalpy at 0 K	24.2	kJ per mole of atoms



Fe2HRh2: optimized geometry, PBE-GGA.

Structure (POSCAR):
```
Fe2HRh2
1.0
2.689 0.000 -0.431
0.024 4.617 0.145
0.058 1.918 8.968
Fe Rh H
4 4 2
direct
0.315 0.352 0.632 Fe
0.564 0.099 0.127 Fe
0.686 0.651 0.373 Fe
0.935 0.398 0.868 Fe
0.813 0.845 0.627 Rh
0.065 0.610 0.129 Rh
0.185 0.140 0.371 Rh
0.437 0.905 0.873 Rh
0.749 0.255 0.500 H
0.501 0.495 0.000 H
```

Summary:
raw total energy	-6.99	eV per atom
magnetization	12.8	μB/cell
Fermi-level density of states	1.11	states/eV/atom



Sr2Zn3Pt4: optimized geometry, PBE-GGA.

Structure (POSCAR):
```
Sr2Zn3Pt4
1.0
5.373 0.000 -2.105
0.000 7.600 0.000
0.197 0.000 8.412
Zn Pt Sr
6 8 4
direct
0.984 0.250 0.468 Zn
0.516 0.750 0.532 Zn
0.000 0.000 0.000 Zn
0.500 0.500 0.000 Zn
0.484 0.250 0.468 Zn
0.016 0.750 0.532 Zn
0.318 0.250 0.135 Pt
0.818 0.250 0.135 Pt
0.824 0.014 0.647 Pt
0.676 0.514 0.353 Pt
0.682 0.750 0.865 Pt
0.176 0.986 0.353 Pt
0.182 0.750 0.865 Pt
0.324 0.486 0.647 Pt
0.395 0.093 0.790 Sr
0.605 0.907 0.210 Sr
0.895 0.407 0.790 Sr
0.105 0.593 0.210 Sr
```

Summary:
magnetization	0.0	μB/cell
Fermi-level density of states	0.42	states/eV/atom
formation enthalpy at 0 K	-65.9	kJ per mole of atoms



Cu2SeBr: optimized geometry, PBE-GGA.

Structure (POSCAR):
```
Cu2SeBr
1.0
-1.958 -1.104 -3.067
1.598 -2.342 -2.535
-2.537 -6.588 1.633
Br Se Cu
1 1 2
direct
0.474 0.474 0.579 Br
0.663 0.663 0.010 Se
0.287 0.287 0.139 Cu
0.076 0.076 0.772 Cu
```

Summary:
raw formation energy	-0.026	eV per atom
magnetization	0.0	μB/cell
Fermi-level density of states	0.99	states/eV/atom
E above lowest polymorph	0.170	eV per atom



AcHoIrI: optimized geometry, PBE-GGA.

Structure (POSCAR):
```
AcHoIrI
1.0
4.245 -0.001 0.000
-2.122 3.677 0.000
-2.123 -1.225 8.270
Ir Ac I Ho
1 1 1 1
direct
0.317 0.556 0.888 Ir
0.518 0.157 0.690 Ac
0.952 0.374 0.341 I
0.091 0.944 0.050 Ho
```

Summary:
raw formation energy	-0.993	eV per atom
magnetization	0.0	μB/cell
Fermi-level density of states	0.05	states/eV/atom



Te3IrRh: optimized geometry, PBE-GGA.

Structure (POSCAR):
```
Te3IrRh
1.0
5.187 0.000 0.000
0.000 5.187 0.000
0.000 0.000 5.187
Te Rh Ir
3 1 1
direct
0.000 0.000 0.500 Te
0.500 0.000 0.000 Te
0.000 0.500 0.000 Te
0.500 0.500 0.500 Rh
0.000 0.000 0.000 Ir
```

Summary:
raw formation energy	0.982	eV per atom
magnetization	0.9	μB/cell
Fermi-level density of states	1.54	states/eV/atom
E above lowest polymorph	0.000	eV per atom



PuVTc2: optimized geometry, PBE-GGA.

Structure (POSCAR):
```
PuVTc2
1.0
3.092 0.000 0.000
0.000 3.092 0.000
0.000 0.000 6.833
Tc Pu V
2 1 1
direct
0.000 0.000 0.785 Tc
0.000 0.000 0.215 Tc
0.500 0.500 0.500 Pu
0.500 0.500 0.000 V
```

Summary:
magnetization	4.1	μB/cell
Fermi-level density of states	1.48	states/eV/atom
formation enthalpy at 0 K	-2.3	kJ per mole of atoms
E above lowest polymorph	0.000	eV per atom



LiHfAlPd: optimized geometry, PBE-GGA.

Structure (POSCAR):
```
LiHfAlPd
1.0
4.473 0.000 0.000
2.237 3.874 0.000
2.237 1.291 3.652
Pd Li Al Hf
1 1 1 1
direct
0.500 0.500 0.500 Pd
0.000 0.000 0.000 Li
0.750 0.750 0.750 Al
0.250 0.250 0.250 Hf
```

Summary:
magnetization	0.0	μB/cell
formation enthalpy at 0 K	-58.5	kJ per mole of atoms



Li4Hg4Au3: optimized geometry, PBE-GGA.

Structure (POSCAR):
```
Li4Hg4Au3
1.0
-0.629 -0.981 -2.824
5.539 -5.879 0.808
-8.678 -2.228 2.710
Li Au Hg
4 3 4
direct
0.500 0.781 0.565 Li
0.500 0.219 0.435 Li
0.500 0.779 0.002 Li
0.500 0.221 0.998 Li
0.000 0.085 0.168 Au
0.000 0.915 0.832 Au
0.000 0.500 0.000 Au
0.000 0.155 0.681 Hg
0.000 0.475 0.318 Hg
0.000 0.525 0.682 Hg
0.000 0.845 0.319 Hg
```

Summary:
magnetization	0.0	μB/cell
Fermi-level density of states	0.28	states/eV/atom
formation enthalpy at 0 K	-32.8	kJ per mole of atoms
E above lowest polymorph	0.000	eV per atom



TlNiTe2: optimized geometry, PBE-GGA.

Structure (POSCAR):
```
TlNiTe2
1.0
3.384 0.000 0.000
0.000 3.384 0.000
0.000 0.000 8.779
Te Ni Tl
2 1 1
direct
0.000 0.000 0.927 Te
0.000 0.000 0.573 Te
0.500 0.500 0.750 Ni
0.500 0.500 0.250 Tl
```

Summary:
raw formation energy	0.114	eV per atom
magnetization	0.0	μB/cell
Fermi-level density of states	0.41	states/eV/atom



CoNi23Sb6: optimized geometry, PBE-GGA.

Structure (POSCAR):
```
CoNi23Sb6
1.0
-0.778 -8.019 1.457
6.543 -4.422 2.160
0.669 -2.856 7.644
Ni Sb Co
23 6 1
direct
0.500 0.500 0.000 Ni
0.880 0.360 0.880 Ni
0.500 0.000 0.500 Ni
0.672 0.672 0.985 Ni
0.120 0.120 0.120 Ni
0.328 0.015 0.328 Ni
0.880 0.880 0.360 Ni
0.985 0.672 0.672 Ni
0.328 0.328 0.015 Ni
0.640 0.120 0.120 Ni
0.000 0.500 0.000 Ni
0.328 0.328 0.328 Ni
0.120 0.640 0.120 Ni
0.360 0.880 0.880 Ni
0.120 0.120 0.640 Ni
0.880 0.880 0.880 Ni
0.000 0.000 0.500 Ni
0.672 0.672 0.672 Ni
0.000 0.500 0.500 Ni
0.672 0.985 0.672 Ni
0.015 0.328 0.328 Ni
0.000 0.000 0.000 Ni
0.500 0.000 0.000 Ni
0.727 0.273 0.727 Sb
0.273 0.273 0.727 Sb
0.273 0.727 0.273 Sb
0.273 0.727 0.727 Sb
0.727 0.727 0.273 Sb
0.727 0.273 0.273 Sb
0.500 0.500 0.500 Co
```

Summary:
raw formation energy	0.002	eV per atom
magnetization	3.7	μB/cell
Fermi-level density of states	1.32	states/eV/atom



NaYZr: optimized geometry, PBE-GGA.

Structure (POSCAR):
```
NaYZr
1.0
-3.017 1.427 0.442
-2.269 -5.170 1.177
0.734 2.774 8.903
Zr Na Y
2 2 2
direct
0.574 0.381 0.090 Zr
0.698 0.009 0.845 Zr
0.909 0.436 0.426 Na
0.369 0.949 0.509 Na
0.216 0.509 0.807 Y
0.056 0.882 0.128 Y
```

Summary:
magnetization	0.0	μB/cell
Fermi-level density of states	1.23	states/eV/atom
formation enthalpy at 0 K	22.0	kJ per mole of atoms
E above lowest polymorph	0.134	eV per atom



Dy3NpRu4: optimized geometry, PBE-GGA.

Structure (POSCAR):
```
Dy3NpRu4
1.0
7.074 -0.404 -2.065
-3.835 5.957 2.065
-4.719 -0.969 5.590
Np Dy Ru
1 3 4
direct
0.831 0.500 0.331 Np
0.331 0.726 0.057 Dy
0.331 0.000 0.331 Dy
0.331 0.274 0.606 Dy
0.831 0.146 0.977 Ru
0.540 0.708 0.831 Ru
0.123 0.292 0.831 Ru
0.831 0.854 0.685 Ru
```

Summary:
magnetization	2.5	μB/cell
Fermi-level density of states	1.27	states/eV/atom
formation enthalpy at 0 K	-2.3	kJ per mole of atoms
E above lowest polymorph	0.275	eV per atom



HoTm4Sc5: optimized geometry, PBE-GGA.

Structure (POSCAR):
```
HoTm4Sc5
1.0
6.017 0.000 0.000
3.008 6.830 0.000
3.008 0.000 6.830
Sc Tm Ho
5 4 1
direct
0.803 0.372 0.914 Sc
0.690 0.000 0.000 Sc
0.175 0.914 0.628 Sc
0.089 0.628 0.086 Sc
0.717 0.086 0.372 Sc
0.109 0.294 0.391 Tm
0.500 0.609 0.294 Tm
0.795 0.706 0.609 Tm
0.404 0.391 0.706 Tm
0.228 0.000 0.000 Ho
```

Summary:
magnetization	0.0	μB/cell
Fermi-level density of states	1.56	states/eV/atom
formation enthalpy at 0 K	29.2	kJ per mole of atoms
E above lowest polymorph	0.041	eV per atom



CdSe2NF: optimized geometry, PBE-GGA.

Structure (POSCAR):
```
CdSe2NF
1.0
4.550 0.000 0.000
0.000 4.550 0.000
0.000 0.000 4.685
N Se F Cd
1 2 1 1
direct
0.000 0.000 0.500 N
0.500 0.000 0.000 Se
0.000 0.500 0.000 Se
0.000 0.000 0.000 F
0.500 0.500 0.500 Cd
```

Summary:
raw formation energy	1.002	eV per atom
magnetization	2.6	μB/cell
Fermi-level density of states	0.36	states/eV/atom
E above lowest polymorph	0.000	eV per atom



Mg4TiO6: optimized geometry, PBE-GGA.

Structure (POSCAR):
```
Mg4TiO6
1.0
5.514 0.000 1.665
2.499 4.856 1.687
-0.161 0.072 10.495
Mg O Ti
8 12 2
direct
0.043 0.487 0.167 Mg
0.241 0.726 0.300 Mg
0.896 0.712 0.632 Mg
0.806 0.241 0.465 Mg
0.489 0.741 0.965 Mg
0.733 0.226 0.800 Mg
0.303 0.987 0.667 Mg
0.759 0.212 0.132 Mg
0.474 0.618 0.436 O
0.593 0.016 0.514 O
0.990 0.143 0.275 O
0.878 0.516 0.014 O
0.736 0.868 0.206 O
0.949 0.033 0.643 O
0.999 0.536 0.428 O
0.037 0.036 0.928 O
0.473 0.118 0.936 O
0.190 0.368 0.706 O
0.591 0.643 0.775 O
0.375 0.533 0.143 O
0.668 0.806 0.389 Ti
0.137 0.306 0.889 Ti
```

Summary:
raw formation energy	-2.625	eV per atom
magnetization	0.0	μB/cell
Fermi-level density of states	0.00	states/eV/atom



YMn2Co: optimized geometry, PBE-GGA.

Structure (POSCAR):
```
YMn2Co
1.0
-2.787 -2.455 -1.464
2.563 -1.423 -2.494
1.124 -2.981 2.856
Y Co Mn
1 1 2
direct
0.500 0.000 0.500 Y
0.000 0.500 0.500 Co
0.500 0.500 0.000 Mn
0.000 0.000 0.000 Mn
```

Summary:
magnetization	7.7	μB/cell
Fermi-level density of states	1.03	states/eV/atom
formation enthalpy at 0 K	26.6	kJ per mole of atoms
E above lowest polymorph	0.174	eV per atom



CuNiSe2: optimized geometry, PBE-GGA.

Structure (POSCAR):
```
CuNiSe2
1.0
5.448 0.000 0.000
0.000 5.448 0.000
2.724 2.724 5.375
Ni Se Cu
2 4 2
direct
0.500 0.500 0.000 Ni
0.250 0.750 0.500 Ni
0.140 0.625 0.250 Se
0.610 0.125 0.250 Se
0.875 0.860 0.750 Se
0.375 0.390 0.750 Se
0.000 0.000 0.000 Cu
0.750 0.250 0.500 Cu
```

Summary:
raw formation energy	-0.172	eV per atom
magnetization	0.0	μB/cell
Fermi-level density of states	1.21	states/eV/atom



K2U3TaO12: optimized geometry, PBE-GGA.

Structure (POSCAR):
```
K2U3TaO12
1.0
-7.390 -1.917 0.956
-1.661 -6.034 4.476
-3.260 1.315 6.844
O U K Ta
12 3 2 1
direct
0.939 0.302 0.939 O
0.936 0.321 0.321 O
0.061 0.698 0.061 O
0.321 0.936 0.321 O
0.321 0.321 0.936 O
0.061 0.061 0.698 O
0.679 0.064 0.679 O
0.698 0.061 0.061 O
0.064 0.679 0.679 O
0.939 0.939 0.302 O
0.679 0.679 0.064 O
0.302 0.939 0.939 O
0.000 0.000 0.500 U
0.500 0.000 0.000 U
0.000 0.500 0.000 U
0.370 0.370 0.370 K
0.630 0.630 0.630 K
0.000 0.000 0.000 Ta
```

Summary:
raw formation energy	-2.915	eV per atom
magnetization	1.0	μB/cell
Fermi-level density of states	0.43	states/eV/atom